[1]
VASP calculation (GGA-PBE) on crystalline NdY2Tl at its relaxed geometry.

It has space group P4/mmm (No. 123), with a = 4.946 Å, b = 4.946 Å, c = 4.861 Å, α = 90.00°, β = 90.00° and γ = 90.00°. The asymmetric unit holds Nd at (0.000, 0.000, 0.000), Y at (0.000, 0.500, 0.500) and Tl at (0.500, 0.500, 0.000).

The energy above the lowest structure with this stoichiometry is 0.0 meV/atom. The formation energy comes out at -0.196 eV/atom. As for the magnetization: 0.210 μB per atom.

[2]
VASP calculation (GGA-PBE) on crystalline NdY4Tl2 at its relaxed geometry.

It has space group R-3m (No. 166, hexagonal axes), with a = 5.1354 Å, b = 5.1354 Å, c = 31.2763 Å, α = 90.00°, β = 90.00° and γ = 120.00°. The asymmetric unit holds Nd at (0.0000, 0.0000, 0.0000), Y at (0.0000, 0.0000, 0.2049), Y at (0.0000, 0.0000, 0.3904) and Tl at (0.0000, 0.0000, 0.1019).

The formation energy comes out at 0.050 eV/atom. As for the magnetization: 0.155 μB per atom.

[3]
VASP calculation (GGA-PBE) on crystalline Nd2YTl at its relaxed geometry.

It has space group P4/mmm (No. 123), with a = 4.898 Å, b = 4.898 Å, c = 5.073 Å, α = 90.00°, β = 90.00° and γ = 90.00°. The asymmetric unit holds Nd at (0.000, 0.500, 0.000), Y at (0.000, 0.000, 0.500) and Tl at (0.500, 0.500, 0.500).

The energy above the lowest structure with this stoichiometry is 5.3 meV/atom. The formation energy comes out at -0.204 eV/atom. As for the magnetization: 0.000 μB per atom.

[4]
VASP calculation (GGA-PBE) on crystalline Nd3Y2Tl2 at its relaxed geometry.

It has space group Cmmm (No. 65), with a = 5.014 Å, b = 24.262 Å, c = 3.568 Å, α = 90.00°, β = 90.00° and γ = 90.00°. The asymmetric unit holds Nd at (0.000, 0.000, 0.000), Nd at (0.000, 0.143, 0.000), Y at (0.000, 0.287, 0.500) and Tl at (0.000, 0.427, 0.500).

The energy above the lowest structure with this stoichiometry is 110.9 meV/atom. The formation energy comes out at -0.101 eV/atom. As for the magnetization: 0.000 μB per atom.

[5]
VASP calculation (GGA-PBE) on crystalline Nd7YTl2 at its relaxed geometry.

It has space group Cmmm (No. 65), with a = 9.402 Å, b = 16.205 Å, c = 5.401 Å, α = 90.00°, β = 90.00° and γ = 90.00°. The asymmetric unit holds Nd at (0.000, 0.000, 0.000), Nd at (0.000, 0.276, 0.500), Nd at (0.182, 0.380, 0.000), Y at (0.000, 0.500, 0.500) and Tl at (0.000, 0.193, 0.000).

The formation energy comes out at 0.329 eV/atom. As for the magnetization: 0.000 μB per atom.

[6]
VASP calculation (GGA-PBE) on crystalline Nd6YTl2 at its relaxed geometry.

It has space group C2/m (No. 12), with a = 13.231 Å, b = 3.842 Å, c = 12.199 Å, α = 90.00°, β = 108.09° and γ = 90.00°. The asymmetric unit holds Nd at (0.015, 0.000, 0.343), Nd at (0.184, 0.500, 0.876), Nd at (0.194, 0.500, 0.591), Y at (0.000, 0.000, 0.000) and Tl at (0.136, 0.500, 0.197).

The energy above the lowest structure with this stoichiometry is 0.0 meV/atom. The formation energy comes out at -0.158 eV/atom. As for the magnetization: 0.000 μB per atom.

[7]
VASP calculation (GGA-PBE) on crystalline NdY2Tl at its relaxed geometry.

It has space group R3m (No. 160, hexagonal axes), with a = 3.6872 Å, b = 3.6872 Å, c = 32.4128 Å, α = 90.00°, β = 90.00° and γ = 120.00°. The asymmetric unit holds Nd at (0.0000, 0.0000, 0.0000), Y at (0.0000, 0.0000, 0.2425), Y at (0.0000, 0.0000, 0.4239) and Tl at (0.0000, 0.0000, 0.8334).

The energy above the lowest structure with this stoichiometry is 75.7 meV/atom. The formation energy comes out at -0.121 eV/atom. As for the magnetization: 0.000 μB per atom.

[8]
VASP calculation (GGA-PBE) on crystalline Nd2YTl at its relaxed geometry.

It has space group P4/mmm (No. 123), with a = 3.687 Å, b = 3.687 Å, c = 9.500 Å, α = 90.00°, β = 90.00° and γ = 90.00°. The asymmetric unit holds Nd at (0.000, 0.000, 0.229), Y at (0.500, 0.500, 0.500) and Tl at (0.500, 0.500, 0.000).

The energy above the lowest structure with this stoichiometry is 59.6 meV/atom. The formation energy comes out at -0.149 eV/atom. As for the magnetization: 0.000 μB per atom.

[9]
VASP calculation (GGA-PBE) on crystalline Nd3YTl3 at its relaxed geometry.

It has space group P6_3/m (No. 176), with a = 9.6685 Å, b = 9.6685 Å, c = 5.3267 Å, α = 90.00°, β = 90.00° and γ = 120.00°. The asymmetric unit holds Nd at (0.0008, 0.2403, 0.2500), Y at (0.3333, 0.6667, 0.2500) and Tl at (0.0726, 0.4539, 0.7500).

The energy above the lowest structure with this stoichiometry is 68.1 meV/atom. The formation energy comes out at -0.219 eV/atom. As for the magnetization: 0.000 μB per atom.

[10]
VASP calculation (GGA-PBE) on crystalline Nd6Y12Tl at its relaxed geometry.

It has space group R-3 (No. 148, hexagonal axes), with a = 12.0186 Å, b = 12.0186 Å, c = 15.0853 Å, α = 90.00°, β = 90.00° and γ = 120.00°. The asymmetric unit holds Nd at (0.0146, 0.4233, 0.1841), Y at (0.0024, 0.1743, 0.3138), Y at (0.0462, 0.8514, 0.9156) and Tl at (0.0000, 0.0000, 0.5000).

The formation energy comes out at 0.070 eV/atom. As for the magnetization: 0.000 μB per atom.

[11]
VASP calculation (GGA-PBE) on crystalline NdYTl4 at its relaxed geometry.

It has space group Cmmm (No. 65), with a = 5.063 Å, b = 5.587 Å, c = 12.167 Å, α = 90.00°, β = 90.00° and γ = 90.00°. The asymmetric unit holds Nd at (0.000, 0.000, 0.000), Y at (0.000, 0.500, 0.500), Tl at (0.000, 0.000, 0.333) and Tl at (0.000, 0.500, 0.176).

The energy above the lowest structure with this stoichiometry is 0.0 meV/atom. The formation energy comes out at -0.170 eV/atom. As for the magnetization: 0.050 μB per atom.

[12]
VASP calculation (GGA-PBE) on crystalline NdY3Tl4 at its relaxed geometry.

It has space group P4/mmm (No. 123), with a = 5.435 Å, b = 5.435 Å, c = 7.593 Å, α = 90.00°, β = 90.00° and γ = 90.00°. The asymmetric unit holds Nd at (0.000, 0.000, 0.000), Y at (0.000, 0.000, 0.500), Y at (0.500, 0.500, 0.000), Y at (0.500, 0.500, 0.500) and Tl at (0.000, 0.500, 0.256).

The formation energy comes out at -0.379 eV/atom. As for the magnetization: 0.000 μB per atom.

[13]
VASP calculation (GGA-PBE) on crystalline Nd5YTl5 at its relaxed geometry.

It has space group C2/m (No. 12), with a = 18.128 Å, b = 5.843 Å, c = 7.194 Å, α = 90.00°, β = 112.87° and γ = 90.00°. The asymmetric unit holds Nd at (0.000, 0.000, 0.000), Nd at (0.139, 0.500, 0.144), Nd at (0.189, 0.500, 0.693), Y at (0.000, 0.000, 0.500), Tl at (0.000, 0.500, 0.500), Tl at (0.161, 0.000, 0.888) and Tl at (0.162, 0.000, 0.435).

The formation energy comes out at -0.167 eV/atom. As for the magnetization: 0.044 μB per atom.

[14]
VASP calculation (GGA-PBE) on crystalline Nd2YTl at its relaxed geometry.

It has space group P2_1/m (No. 11), with a = 6.004 Å, b = 3.500 Å, c = 12.841 Å, α = 90.00°, β = 91.35° and γ = 90.00°. The asymmetric unit holds Nd at (0.243, 0.250, 0.313), Nd at (0.250, 0.750, 0.566), Y at (0.272, 0.750, 0.846) and Tl at (0.230, 0.250, 0.059).

The energy above the lowest structure with this stoichiometry is 323.2 meV/atom. The formation energy comes out at 0.114 eV/atom. As for the magnetization: 0.001 μB per atom.

[15]
VASP calculation (GGA-PBE) on crystalline Nd6YTl at its relaxed geometry.

It has space group P4/mmm (No. 123), with a = 5.037 Å, b = 5.037 Å, c = 10.390 Å, α = 90.00°, β = 90.00° and γ = 90.00°. The asymmetric unit holds Nd at (0.000, 0.000, 0.000), Nd at (0.000, 0.000, 0.500), Nd at (0.000, 0.500, 0.244), Y at (0.500, 0.500, 0.500) and Tl at (0.500, 0.500, 0.000).

The energy above the lowest structure with this stoichiometry is 0.0 meV/atom. The formation energy comes out at -0.086 eV/atom. As for the magnetization: 0.000 μB per atom.

[16]
VASP calculation (GGA-PBE) on crystalline Nd6Y3Tl at its relaxed geometry.

It has space group P2_1/m (No. 11), with a = 12.483 Å, b = 3.634 Å, c = 14.991 Å, α = 90.00°, β = 93.84° and γ = 90.00°. The asymmetric unit holds Nd at (0.064, 0.250, 0.393), Nd at (0.120, 0.750, 0.955), Nd at (0.199, 0.250, 0.751), Nd at (0.295, 0.750, 0.312), Nd at (0.311, 0.250, 0.108), Nd at (0.388, 0.250, 0.496), Y at (0.073, 0.750, 0.182), Y at (0.399, 0.750, 0.918), Y at (0.447, 0.750, 0.697) and Tl at (0.190, 0.750, 0.560).

The formation energy comes out at 0.014 eV/atom. As for the magnetization: 0.000 μB per atom.

[17]
VASP calculation (GGA-PBE) on crystalline Nd4Y2Tl at its relaxed geometry.

It has space group Cmmm (No. 65), with a = 6.281 Å, b = 12.538 Å, c = 6.146 Å, α = 90.00°, β = 90.00° and γ = 90.00°. The asymmetric unit holds Nd at (0.000, 0.132, 0.000), Nd at (0.000, 0.331, 0.500), Y at (0.000, 0.380, 0.000) and Tl at (0.000, 0.000, 0.500).

The formation energy comes out at 0.428 eV/atom. As for the magnetization: 0.000 μB per atom.

[18]
VASP calculation (GGA-PBE) on crystalline Nd2Y3Tl2 at its relaxed geometry.

It has space group C2/m (No. 12), with a = 10.814 Å, b = 4.969 Å, c = 8.531 Å, α = 90.00°, β = 107.52° and γ = 90.00°. The asymmetric unit holds Nd at (0.112, 0.000, 0.267), Y at (0.000, 0.500, 0.500), Y at (0.137, 0.500, 0.940) and Tl at (0.187, 0.000, 0.684).

The formation energy comes out at -0.183 eV/atom. As for the magnetization: 0.000 μB per atom.

[19]
VASP calculation (GGA-PBE) on crystalline Nd6Y2Tl at its relaxed geometry.

It has space group C2/m (No. 12), with a = 16.634 Å, b = 10.484 Å, c = 3.587 Å, α = 90.00°, β = 102.34° and γ = 90.00°. The asymmetric unit holds Nd at (0.000, 0.188, 0.000), Nd at (0.175, 0.337, 0.677), Y at (0.156, 0.000, 0.653) and Tl at (0.000, 0.500, 0.500).

The energy above the lowest structure with this stoichiometry is 0.0 meV/atom. The formation energy comes out at 0.001 eV/atom. As for the magnetization: 0.000 μB per atom.

[20]
VASP calculation (GGA-PBE) on crystalline Nd3YTl4 at its relaxed geometry.

It has space group Immm (No. 71), with a = 3.718 Å, b = 7.288 Å, c = 18.727 Å, α = 90.00°, β = 90.00° and γ = 90.00°. The asymmetric unit holds Nd at (0.000, 0.000, 0.000), Nd at (0.000, 0.500, 0.218), Y at (0.000, 0.000, 0.500) and Tl at (0.000, 0.284, 0.374).

The energy above the lowest structure with this stoichiometry is 139.1 meV/atom. The formation energy comes out at -0.254 eV/atom. As for the magnetization: 0.051 μB per atom.

[21]
VASP calculation (GGA-PBE) on crystalline Nd7Y12Tl at its relaxed geometry.

It has space group R-3 (No. 148, hexagonal axes), with a = 12.0586 Å, b = 12.0586 Å, c = 16.0743 Å, α = 90.00°, β = 90.00° and γ = 120.00°. The asymmetric unit holds Nd at (0.0000, 0.0000, 0.0000), Nd at (0.0619, 0.1853, 0.2923), Y at (0.0399, 0.4604, 0.2158), Y at (0.0571, 0.5807, 0.5846) and Tl at (0.0000, 0.0000, 0.5000).

The formation energy comes out at 0.155 eV/atom. As for the magnetization: 0.000 μB per atom.

[22]
VASP calculation (GGA-PBE) on crystalline NdYTl at its relaxed geometry.

It has space group Cmcm (No. 63), with a = 5.519 Å, b = 9.529 Å, c = 6.888 Å, α = 90.00°, β = 90.00° and γ = 90.00°. The asymmetric unit holds Nd at (0.000, 0.166, 0.250), Y at (0.000, 0.500, 0.000) and Tl at (0.000, 0.168, 0.750).

The energy above the lowest structure with this stoichiometry is 12.3 meV/atom. The formation energy comes out at -0.274 eV/atom. As for the magnetization: 0.241 μB per atom.

[23]
VASP calculation (GGA-PBE) on crystalline Nd2YTl at its relaxed geometry.

It has space group R3m (No. 160, hexagonal axes), with a = 3.7198 Å, b = 3.7198 Å, c = 33.1785 Å, α = 90.00°, β = 90.00° and γ = 120.00°. The asymmetric unit holds Nd at (0.0000, 0.0000, 0.0000), Nd at (0.0000, 0.0000, 0.1755), Y at (0.0000, 0.0000, 0.4211) and Tl at (0.0000, 0.0000, 0.5875).

The energy above the lowest structure with this stoichiometry is 110.1 meV/atom. The formation energy comes out at -0.099 eV/atom. As for the magnetization: 0.129 μB per atom.